Entry 1:
Sm4CI2F3 after structural relaxation. Source: the Open Quantum Materials Database, functional GGA-PBE.

Cell lengths 17.793, 3.722, 7.160 Å; angles 90.00, 101.96, 90.00 degrees
Space group C2/m (No. 12)
One atom of each set of equivalent atoms:
Sm1 0.005 0.000 0.242 x4
Sm2 0.141 0.500 0.077 x4
C1 0.000 0.500 0.000 x2
I1 0.172 0.000 0.748 x4
F1 0.000 0.500 0.500 x2
F2 0.143 0.000 0.284 x4

Calculated values
total magnetic moment = 0.0 μB per cell
density = 6.62 g cm⁻³
E = -5.68 eV per atom



Entry 2:
CuHg2GeSe4 after structural relaxation. Source: the Open Quantum Materials Database, functional GGA-PBE.

Cell lengths 6.019, 6.019, 12.106 Å; angles 90.00, 90.00, 90.00 degrees
Space group I-42m (No. 121)
One atom of each set of equivalent atoms:
Cu1 0.000 0.000 0.000 x2
Hg1 0.000 0.500 0.250 x4
Ge1 0.000 0.000 0.500 x2
Se1 0.239 0.239 0.111 x8

Calculated values
density = 6.46 g cm⁻³
E = -3.04 eV per atom



What did the second record say?
CuHg2GeSe4 after structural relaxation. Source: the Open Quantum Materials Database, functional GGA-PBE.

Cell lengths 6.019, 6.019, 12.106 Å; angles 90.00, 90.00, 90.00 degrees
Space group I-42m (No. 121)
One atom of each set of equivalent atoms:
Cu1 0.000 0.000 0.000 x2
Hg1 0.000 0.500 0.250 x4
Ge1 0.000 0.000 0.500 x2
Se1 0.239 0.239 0.111 x8

Calculated values
density = 6.46 g cm⁻³
E = -3.04 eV per atom



Which value of density does entry 2 give?
6.46 g cm⁻³